VASP calculation (PBE) on a geometry-optimized MnAsRu4 structure.

Results
formation enthalpy at 0 K = 3.58 eV per formula unit
ρ = 9.308 g cm⁻³
M_tot = 2.346 μB per formula unit
calculated total energy = -7.891 eV/atom

The structure in CIF format:
```
data_MnAsRu4
_chemical_formula_sum 'Mn4 As4 Ru16'
_symmetry_space_group_name_H-M 'F -4 3 m'
_symmetry_Int_Tables_number 216
_symmetry_space_group_name_Hall 'F -4 2 3'
_cell_length_a 7.2505
_cell_length_b 7.2505
_cell_length_c 7.2505
_cell_angle_alpha 90.00
_cell_angle_beta 90.00
_cell_angle_gamma 90.00
loop_
_atom_site_label
_atom_site_fract_x
_atom_site_fract_y
_atom_site_fract_z
Mn1 0.0000 0.0000 0.0000
As1 0.2500 0.2500 0.2500
Ru1 0.1248 0.1248 0.6248
```